VASP calculation (PBE with a Hubbard U) on crystalline Ti2WF at its relaxed geometry.

Summary:
Calculated volume in Å³/f.u.: 62.9
D(E_F) in states/eV/cell: 10.16
VASP energy in Ry/atom: -0.469

a b c (Å): 5.469 5.469 5.469
angles (deg): 110.45 110.45 107.52
Atoms (fractional coordinates):
Ti 0.047 0.625 0.922
Ti 0.375 0.297 0.422
Ti 0.703 0.125 0.078
Ti 0.875 0.953 0.578
W 0.250 0.750 0.500
W 0.500 0.500 0.000
F 0.000 0.000 0.000
F 0.750 0.250 0.500